Mg2CrTc PBE relaxed; volume = 66.9 Å³/cell; excess energy over the best structure of this formula in the dataset = 16.0 kJ per mole of atoms; DOS at the Fermi energy = 3.7 states/eV per cell; energy of formation from the pure elements = 267 meV per atom; ρ = 4.93 g/cm3
1.0
1.444 0.834 9.259
-1.444 0.834 9.259
0.000 -1.667 9.259
Mg Cr Tc
2 1 1
Direct
0.000 0.000 0.000
0.233 0.233 0.233
0.482 0.482 0.482
0.751 0.751 0.751